## Mn2GaN (PBE)

Data for crystalline Mn2GaN at its relaxed geometry.

**Density**: 7.08 g/cm³
**Formation energy without anion corrections**: -0.134 eV/atom
**Space-group type**: No. 38
**Spin magnetization**: 0.896 μB/atom

a b c (Å): 2.700 4.785 4.785
angles (deg): 47.23 90.00 90.00
Element x y z (fractional)
Mn1 0.000 0.000 0.000
Mn2 0.500 0.314 0.314
Ga1 0.000 0.699 0.699
N1 0.000 0.465 0.465

***

## Ce2Zn3Ga2 (PBE)

Data for crystalline Ce2Zn3Ga2 at its relaxed geometry.

**Energy above the most stable polymorph in this dataset**: 0.0 meV per atom
**Density**: 7.22 g/cm³
**Energy of formation from the pure elements**: -0.400 eV per atom
**Space-group type**: No. 12
**Spin magnetization**: 0.142 μB/atom

a b c (Å): 5.689 5.689 6.560
angles (deg): 109.52 109.52 45.72
Element x y z (fractional)
Ce1 0.154 0.154 0.268
Ce2 0.846 0.846 0.732
Zn1 0.408 0.408 0.081
Zn2 0.500 0.500 0.500
Zn3 0.592 0.592 0.919
Ga1 0.151 0.151 0.756
Ga2 0.849 0.849 0.244

***

## GdTmCoRh (PBE)

Data for crystalline GdTmCoRh at its relaxed geometry.

**Density**: 10.48 g/cm³
**Energy of formation from the pure elements**: -0.501 eV per atom
**Space-group type**: No. 216
**Spin magnetization**: 1.609 μB/atom

a b c (Å): 4.783 4.783 4.783
angles (deg): 60.00 60.00 60.00
Element x y z (fractional)
Gd1 0.000 0.000 0.000
Tm1 0.500 0.500 0.500
Co1 0.250 0.250 0.250
Rh1 0.750 0.750 0.750